Density functional theory data (PBE) for KCoAs2Ru after structural relaxation.

Space group: I-4m2, No. 119
Energy of formation from the pure elements in kJ/mol of atoms: -41.65

The structure in POSCAR format:
```
KCoAs2Ru
1.0
-1.720 1.446 3.240
-2.998 -2.518 -0.467
5.632 -4.065 2.405
Co As Ru K
1 2 1 1
direct
0.250 0.750 0.500 Co
0.651 0.651 0.303 As
0.349 0.349 0.697 As
0.750 0.250 0.500 Ru
0.000 0.000 0.000 K
```